Record 1
VASP calculation (PBE-GGA) on a relaxed Pr5Er2Tm4 crystal.

The structure in POSCAR format:
```
Pr5Er2Tm4
1.0
-1.7640 4.5606 11.8072
1.7640 -4.5606 11.8072
1.7640 4.5606 -11.8072
Pr Er Tm
5 2 4
direct
0.0000 0.0000 0.0000
0.0556 0.3540 0.7016
0.3476 0.6460 0.7016
0.6524 0.3540 0.2984
0.9444 0.6460 0.2984
0.2699 0.7699 0.5000
0.7301 0.2301 0.5000
0.3169 0.5000 0.8169
0.4038 0.9038 0.5000
0.5962 0.0962 0.5000
0.6831 0.5000 0.1831
```

Values from the calculation:
**Formation energy from the elements**: 0.189 eV/atom
**Final energy**: -48.82 eV/cell
**N(E_F)**: 18.378 states/eV/f.u.
**ΔE to the lowest computed polymorph**: 0.1095 eV per atom



Record 2
VASP calculation (PBE-GGA) on a relaxed AlW2Au crystal.

The structure in POSCAR format:
```
AlW2Au
1.0
1.9322 -1.9552 0.0000
1.9322 1.9552 0.0000
0.0000 0.0000 8.5025
Al W Au
1 2 1
direct
0.0000 0.0000 0.0000
0.5000 0.5000 0.2389
0.5000 0.5000 0.7611
0.0000 0.0000 0.5000
```

Values from the calculation:
**Formation energy from the elements**: 0.220 eV/atom
**Final energy**: -32.05 eV/cell
**N(E_F)**: 2.397 states/eV/f.u.



Record 3
VASP calculation (PBE-GGA) on a relaxed CaIr2 crystal.

The structure in POSCAR format:
```
CaIr2
1.0
5.2480 -1.4302 0.0000
5.2480 1.4302 0.0000
-1.9130 0.0000 6.7977
Ca Ir
2 4
direct
0.0000 0.0000 0.0000
0.6642 0.6642 0.3776
0.0462 0.0462 0.6389
0.3296 0.3296 0.6802
0.3764 0.3764 0.2930
0.7364 0.7364 0.9585
```

Values from the calculation:
**Formation energy from the elements**: 0.046 eV/atom
**Final energy**: -39.17 eV/cell
**N(E_F)**: 2.046 states/eV/f.u.